Record 1
! PrY2Tm6 | Alexandria via LeMat-Bulk | PBE | relaxed; values from VASP
&SYSTEM
  ibrav = 0, nat = 9, ntyp = 3
/
ATOMIC_SPECIES
Tm 168.93 Tm.upf
Y 88.91 Y.upf
Pr 140.91 Pr.upf
CELL_PARAMETERS angstrom
-6.5096 -0.2762 2.1841
-2.8841 -6.0671 1.4470
-0.7103 -1.5267 8.5003
ATOMIC_POSITIONS crystal
Tm 0.2819 0.7726 0.6635
Tm 0.2820 0.2819 0.6635
Tm 0.0536 0.5593 0.3335
Tm 0.0536 0.0536 0.3335
Tm 0.5593 0.0536 0.3335
Tm 0.7726 0.2820 0.6635
Y 0.5816 0.5816 0.2550
Y 0.7468 0.7468 0.7596
Pr 0.3343 0.3343 0.9972
! relative energy among the computed polymorphs = 284 kJ/mol of formula units
! ΔE_f = 0.3847 eV per atom



Record 2
! Tl2PdF5 | Alexandria via LeMat-Bulk | PBE | relaxed; values from VASP
&SYSTEM
  ibrav = 0, nat = 8, ntyp = 3
/
ATOMIC_SPECIES
Tl 204.38 Tl.upf
F 19.00 F.upf
Pd 106.42 Pd.upf
CELL_PARAMETERS angstrom
-3.1357 -0.7536 -2.8317
-1.0110 -5.4978 2.5826
-4.0810 2.5540 3.8394
ATOMIC_POSITIONS crystal
Tl 0.5000 0.5000 0.0000
Tl 0.5000 0.0000 0.5000
F 0.0000 0.2288 0.7712
F 0.5000 0.0000 0.0000
F 0.0000 0.2288 0.2288
F 0.0000 0.7712 0.7712
F 0.0000 0.7712 0.2288
Pd 0.0000 0.0000 0.0000
! formation energy (no corrections) = -1.608 eV/atom



Record 3
! KPIr2 | Alexandria via LeMat-Bulk | PBE | relaxed; values from VASP
&SYSTEM
  ibrav = 0, nat = 8, ntyp = 3
/
ATOMIC_SPECIES
Ir 192.22 Ir.upf
P 30.97 P.upf
K 39.10 K.upf
CELL_PARAMETERS angstrom
-1.3311 -5.3947 4.8339
-4.4962 -3.2380 -4.8518
-0.4310 -5.9897 -1.1928
ATOMIC_POSITIONS crystal
Ir 0.2480 0.6250 0.2500
Ir 0.5020 0.1250 0.2500
Ir 0.3750 0.4980 0.7500
Ir 0.8750 0.7520 0.7500
P 0.2500 0.7500 0.5000
P 0.5000 0.5000 0.0000
K 0.0000 0.0000 0.0000
K 0.7500 0.2500 0.5000
! ΔE_f = 0.2629 eV per atom



Record 4
! RbCeS3 | Alexandria via LeMat-Bulk | PBE | relaxed; values from VASP
&SYSTEM
  ibrav = 0, nat = 5, ntyp = 3
/
ATOMIC_SPECIES
S 32.06 S.upf
Ce 140.12 Ce.upf
Rb 85.47 Rb.upf
CELL_PARAMETERS angstrom
-1.5578 3.4570 -1.5939
0.3873 -2.0874 -4.9059
-5.8020 -2.3622 0.5470
ATOMIC_POSITIONS crystal
S 0.4999 0.0000 0.6941
S 0.0000 0.5000 0.0000
S 0.5001 0.0000 0.3059
Ce 0.0000 0.0000 0.0000
Rb 0.0000 0.5000 0.5000
! formation energy (no corrections) = -1.236 eV/atom
! relative energy among the computed polymorphs = 87 kJ/mol of formula units



Record 5
! Rb3Sn2Sb4 | Alexandria via LeMat-Bulk | PBE | relaxed; values from VASP
&SYSTEM
  ibrav = 0, nat = 18, ntyp = 3
/
ATOMIC_SPECIES
Sb 121.76 Sb.upf
Sn 118.71 Sn.upf
Rb 85.47 Rb.upf
CELL_PARAMETERS angstrom
7.5968 -0.2565 -0.1836
0.0681 10.3362 -0.1935
0.0681 3.1473 9.8473
ATOMIC_POSITIONS crystal
Sb 0.9206 0.7547 0.5750
Sb 0.9949 0.3138 0.9357
Sb 0.5051 0.0643 0.6862
Sb 0.0794 0.2453 0.4250
Sb 0.5794 0.4250 0.2453
Sb 0.4949 0.9357 0.3138
Sb 0.0051 0.6862 0.0643
Sb 0.4206 0.5750 0.7547
Sn 0.0634 0.6000 0.8281
Sn 0.5634 0.8281 0.6000
Sn 0.9366 0.4000 0.1719
Sn 0.4366 0.1719 0.4000
Rb 0.5079 0.7601 0.0111
Rb 0.9921 0.9889 0.2399
Rb 0.2500 0.5949 0.4051
Rb 0.7500 0.4051 0.5949
Rb 0.4921 0.2399 0.9889
Rb 0.0079 0.0111 0.7601
! formation energy (no corrections) = -0.229 eV/atom
! relative energy among the computed polymorphs = 31 kJ/mol of formula units



Record 6
! CdCo2Sn2 | Alexandria via LeMat-Bulk | PBE | relaxed; values from VASP
&SYSTEM
  ibrav = 0, nat = 10, ntyp = 3
/
ATOMIC_SPECIES
Sn 118.71 Sn.upf
Cd 112.41 Cd.upf
Co 58.93 Co.upf
CELL_PARAMETERS angstrom
-3.8522 6.2445 -2.1851
1.0188 -1.9384 -7.3357
-2.5175 -1.5336 0.0556
ATOMIC_POSITIONS crystal
Sn 0.1483 0.3517 0.0000
Sn 0.6483 0.1483 0.0000
Sn 0.3517 0.8517 0.0000
Sn 0.8517 0.6483 0.0000
Cd 0.0000 0.0000 0.0000
Cd 0.5000 0.5000 0.0000
Co 0.6448 0.8552 0.5000
Co 0.8552 0.3552 0.5000
Co 0.3552 0.1448 0.5000
Co 0.1448 0.6448 0.5000
! relative energy among the computed polymorphs = 67 kJ/mol of formula units
! ΔE_f = 0.2119 eV per atom



no.,Fermi-level density of states (states/eV per atom),M_tot (Bohr magnetons per cell)
1,1.781,0.0
2,0.187,0.0
3,0.017,0.0
4,0.423,0.0
5,0.961,0.0
6,0.660,0.0